A relaxed structure of Pm2PaSe5. Source: Alexandria via LeMat-Bulk, functional PBE.

Unit cell a=12.550 b=8.377 c=7.850 alpha=90.00 beta=90.00 gamma=90.00
Atoms (fractional coordinates):
Pm 0.179 0.002 0.023
Pm 0.179 0.498 0.023
Pm 0.321 0.502 0.523
Pm 0.321 0.998 0.523
Pm 0.679 0.002 0.477
Pm 0.679 0.498 0.477
Pm 0.821 0.502 0.977
Pm 0.821 0.998 0.977
Pa 0.007 0.750 0.575
Pa 0.493 0.250 0.075
Pa 0.507 0.750 0.925
Pa 0.993 0.250 0.425
Se 0.000 0.250 0.044
Se 0.000 0.750 0.956
Se 0.098 0.044 0.664
Se 0.098 0.456 0.664
Se 0.183 0.750 0.328
Se 0.214 0.250 0.303
Se 0.286 0.750 0.803
Se 0.317 0.250 0.828
Se 0.402 0.544 0.164
Se 0.402 0.956 0.164
Se 0.500 0.250 0.456
Se 0.500 0.750 0.544
Se 0.598 0.044 0.836
Se 0.598 0.456 0.836
Se 0.683 0.750 0.172
Se 0.714 0.250 0.197
Se 0.786 0.750 0.697
Se 0.817 0.250 0.672
Se 0.902 0.544 0.336
Se 0.902 0.956 0.336

Calculated values
Density of states at the Fermi level: 22.522 states/eV per cell
Formation energy (no corrections): -1703 meV/atom